Material: Ba2AlI
Method: DFT, PBE
State: relaxed

## Properties
Formation energy without anion corrections (eV per formula unit): -1.635
SG: I-42d
Excess energy over the best structure of this formula in the dataset (meV/atom): 321

Cell: 9.1268 9.1268 7.9549 Å, 54.99 54.99 90.00°
Closest atoms and distances in Å follow each position.
Atoms (fractional coordinates):
1 Ba 0.6137 0.1250 0.2500  2 Al 3.36, 2 I 3.50
2 Ba 0.3750 0.3863 0.7500  2 Al 3.36, 2 I 3.50
3 Ba 0.1363 0.6250 0.2500  2 Al 3.36, 2 I 3.50
4 Ba 0.8750 0.8637 0.7500  2 Al 3.36, 2 I 3.50
5 I 0.0000 0.0000 0.0000  4 Ba 3.50
6 I 0.7500 0.2500 0.5000  4 Ba 3.50
7 Al 0.2500 0.7500 0.5000  4 Ba 3.36
8 Al 0.5000 0.5000 0.0000  4 Ba 3.36